# 1
A geometry-optimized BMoW structure. Source: Alexandria via LeMat-Bulk, functional PBEsol.

Results
* ΔH_f (0 K): -0.3411 eV per atom

a = 5.525 Å, b = 4.586 Å, c = 4.552 Å
α = 74.41°, β = 53.07°, γ = 52.52°
Sites, in units of the cell vectors:
B: 0.250 0.250 0.250
B: 0.750 0.750 0.750
Mo: 0.171 0.829 0.171
Mo: 0.829 0.171 0.829
W: 0.331 0.331 0.669
W: 0.669 0.669 0.331

---

# 2
A geometry-optimized B2MoW structure. Source: Alexandria via LeMat-Bulk, functional PBEsol.

Results
* ΔH_f (0 K): 0.2305 eV per atom

a = 3.913 Å, b = 3.913 Å, c = 3.913 Å
α = 60.00°, β = 60.00°, γ = 60.00°
Sites, in units of the cell vectors:
B: 0.250 0.250 0.250
B: 0.750 0.750 0.750
Mo: 0.000 0.000 0.000
W: 0.500 0.500 0.500

---

# 3
A geometry-optimized B2Mo2W structure. Source: Alexandria via LeMat-Bulk, functional PBEsol.

Results
* ΔH_f (0 K): -0.4075 eV per atom

a = 5.994 Å, b = 5.994 Å, c = 3.137 Å
α = 90.00°, β = 90.00°, γ = 90.00°
Sites, in units of the cell vectors:
B: 0.115 0.385 0.000
B: 0.385 0.885 0.000
B: 0.615 0.115 0.000
B: 0.885 0.615 0.000
Mo: 0.172 0.672 0.500
Mo: 0.328 0.172 0.500
Mo: 0.672 0.828 0.500
Mo: 0.828 0.328 0.500
W: 0.000 0.000 0.000
W: 0.500 0.500 0.000

---

# 4
A geometry-optimized Y3BMo structure. Source: Alexandria via LeMat-Bulk, functional PBEsol.

Results
* ΔH_f (0 K): 1.2591 eV per atom

a = 5.116 Å, b = 5.116 Å, c = 5.116 Å
α = 90.00°, β = 90.00°, γ = 90.00°
Sites, in units of the cell vectors:
Y: 0.000 0.000 0.500
Y: 0.000 0.500 0.000
Y: 0.500 0.000 0.000
B: 0.500 0.500 0.500
Mo: 0.000 0.000 0.000

---

# 5
A geometry-optimized YB7Mo3 structure. Source: Alexandria via LeMat-Bulk, functional PBEsol.

Results
* ΔH_f (0 K): -0.6373 eV per atom

a = 10.976 Å, b = 3.086 Å, c = 12.744 Å
α = 90.00°, β = 90.00°, γ = 90.00°
Sites, in units of the cell vectors:
Y: 0.052 0.250 0.192
Y: 0.448 0.750 0.692
Y: 0.552 0.250 0.308
Y: 0.948 0.750 0.808
B: 0.011 0.750 0.363
B: 0.037 0.750 0.018
B: 0.068 0.750 0.616
B: 0.167 0.750 0.333
B: 0.187 0.750 0.067
B: 0.230 0.750 0.582
B: 0.249 0.750 0.827
B: 0.251 0.250 0.327
B: 0.270 0.250 0.082
B: 0.313 0.250 0.567
B: 0.333 0.250 0.833
B: 0.432 0.250 0.116
B: 0.463 0.250 0.518
B: 0.489 0.250 0.863
B: 0.511 0.750 0.137
B: 0.537 0.750 0.482
B: 0.568 0.750 0.884
B: 0.667 0.750 0.167
B: 0.687 0.750 0.433
B: 0.730 0.750 0.918
B: 0.749 0.750 0.673
B: 0.751 0.250 0.173
B: 0.770 0.250 0.418
B: 0.813 0.250 0.933
B: 0.833 0.250 0.667
B: 0.932 0.250 0.384
B: 0.963 0.250 0.982
B: 0.989 0.250 0.637
Mo: 0.118 0.250 0.473
Mo: 0.160 0.250 0.936
Mo: 0.184 0.250 0.702
Mo: 0.316 0.750 0.202
Mo: 0.340 0.750 0.436
Mo: 0.382 0.750 0.973
Mo: 0.618 0.250 0.027
Mo: 0.660 0.250 0.564
Mo: 0.684 0.250 0.798
Mo: 0.816 0.750 0.298
Mo: 0.840 0.750 0.064
Mo: 0.882 0.750 0.527

---

# 6
A geometry-optimized YB4Mo structure. Source: Alexandria via LeMat-Bulk, functional PBEsol.

Results
* ΔH_f (0 K): -0.6951 eV per atom

a = 5.998 Å, b = 11.592 Å, c = 3.579 Å
α = 90.00°, β = 90.00°, γ = 90.00°
Sites, in units of the cell vectors:
Y: 0.127 0.150 0.000
Y: 0.373 0.650 0.000
Y: 0.627 0.350 0.000
Y: 0.873 0.850 0.000
B: 0.023 0.694 0.500
B: 0.114 0.547 0.500
B: 0.133 0.968 0.500
B: 0.213 0.814 0.500
B: 0.287 0.314 0.500
B: 0.367 0.468 0.500
B: 0.386 0.047 0.500
B: 0.477 0.194 0.500
B: 0.523 0.806 0.500
B: 0.614 0.953 0.500
B: 0.633 0.532 0.500
B: 0.713 0.686 0.500
B: 0.787 0.186 0.500
B: 0.867 0.032 0.500
B: 0.886 0.453 0.500
B: 0.977 0.306 0.500
Mo: 0.129 0.417 0.000
Mo: 0.371 0.917 0.000
Mo: 0.629 0.083 0.000
Mo: 0.871 0.583 0.000

---

# 7
A geometry-optimized YB2Mo structure. Source: Alexandria via LeMat-Bulk, functional PBEsol.

Results
* ΔH_f (0 K): -0.4325 eV per atom

a = 3.114 Å, b = 5.319 Å, c = 5.319 Å
α = 36.05°, β = 90.00°, γ = 90.00°
Sites, in units of the cell vectors:
Y: 0.000 0.000 0.000
B: 0.000 0.284 0.284
B: 0.500 0.368 0.368
Mo: 0.500 0.721 0.721

---

# 8
A geometry-optimized Zr9BMo4 structure. Source: Alexandria via LeMat-Bulk, functional PBEsol.

Results
* ΔH_f (0 K): -0.1308 eV per atom

a = 8.529 Å, b = 8.529 Å, c = 8.481 Å
α = 90.00°, β = 90.00°, γ = 120.00°
Sites, in units of the cell vectors:
Zr: 0.079 0.539 0.250
Zr: 0.203 0.407 0.556
Zr: 0.203 0.407 0.944
Zr: 0.203 0.797 0.556
Zr: 0.203 0.797 0.944
Zr: 0.407 0.203 0.056
Zr: 0.407 0.203 0.444
Zr: 0.461 0.539 0.250
Zr: 0.461 0.921 0.250
Zr: 0.539 0.079 0.750
Zr: 0.539 0.461 0.750
Zr: 0.593 0.797 0.556
Zr: 0.593 0.797 0.944
Zr: 0.797 0.203 0.056
Zr: 0.797 0.203 0.444
Zr: 0.797 0.593 0.056
Zr: 0.797 0.593 0.444
Zr: 0.921 0.461 0.750
B: 0.333 0.667 0.750
B: 0.667 0.333 0.250
Mo: 0.000 0.000 0.000
Mo: 0.000 0.000 0.500
Mo: 0.110 0.220 0.250
Mo: 0.110 0.890 0.250
Mo: 0.220 0.110 0.750
Mo: 0.780 0.890 0.250
Mo: 0.890 0.110 0.750
Mo: 0.890 0.780 0.750